Entry 1:
Entry from the Alexandria database: a relaxed structure of TlTc4Cl (PBE-GGA).

The structure belongs to space group F-43m (No. 216); the cell edges are 7.485, 7.485 and 7.485 Å and the angles 90.00°, 90.00° and 90.00°. The distinct sites, in fractional coordinates, are Tl at (0.000, 0.000, 0.000), Tc at (0.123, 0.123, 0.377) and Cl at (0.250, 0.250, 0.750).

The total magnetization is 0.0 μB/cell. The density of states at the Fermi level comes out at 28.57 states/eV/cell. For the uncorrected formation energy, the calculation gives 0.978 eV/atom.

---

Entry 2:
Entry from the Alexandria database: a relaxed structure of Tl2TcCl (PBE-GGA).

The structure belongs to space group Immm (No. 71); the cell edges are 3.089, 4.272 and 14.863 Å and the angles 90.00°, 90.00° and 90.00°. The distinct sites, in fractional coordinates, are Tl at (0.000, 0.000, 0.175), Tc at (0.000, 0.500, 0.500) and Cl at (0.000, 0.500, 0.000).

Its polymorph energy (0 for the lowest one) is 200 meV per atom. The total magnetization is 3.6 μB/cell. The density of states at the Fermi level comes out at 5.82 states/eV/cell. For the uncorrected formation energy, the calculation gives 0.417 eV/atom.

---

Entry 3:
Entry from the Alexandria database: a relaxed structure of Tl2TcCl (PBE-GGA).

The structure belongs to space group Imm2 (No. 44); the cell edges are 3.118, 4.651 and 14.747 Å and the angles 90.00°, 90.00° and 90.00°. The distinct sites, in fractional coordinates, are Tl at (0.000, 0.000, 0.000), Tl at (0.000, 0.500, 0.166), Tc at (0.000, 0.000, 0.463) and Cl at (0.000, 0.500, 0.839).

Its polymorph energy (0 for the lowest one) is 26 meV per atom. The total magnetization is 1.0 μB/cell. The density of states at the Fermi level comes out at 6.43 states/eV/cell. For the uncorrected formation energy, the calculation gives 0.243 eV/atom.